K3Nd2BiS6 PBE relaxed; total magnetic moment = 0.0000 μB/atom; E_form (uncorrected) = -1741.2 kJ/mol of formula units; SG = C2/m
1.0
3.6271 -6.2816 0.0000
3.6271 6.2816 0.0000
-2.4166 0.0000 7.3988
K Nd Bi S
3 2 1 6
direct
0.0000 0.0000 0.0000
0.3348 0.6652 0.0000
0.6652 0.3348 0.0000
0.1668 0.8332 0.5000
0.8332 0.1668 0.5000
0.5000 0.5000 0.5000
0.0968 0.4305 0.2915
0.2357 0.2357 0.7081
0.4305 0.0968 0.2915
0.5695 0.9032 0.7085
0.7643 0.7643 0.2919
0.9032 0.5695 0.7085

---

K3NdBi2Se6 PBE relaxed; total magnetic moment = 0.0000 μB/atom; E_form (uncorrected) = -1298.3 kJ/mol of formula units; SG = C2/m
1.0
3.7536 -6.5017 0.0000
3.7536 6.5017 0.0000
-2.5019 0.0000 7.7290
K Nd Bi Se
3 1 2 6
direct
0.0000 0.0000 0.0000
0.3318 0.6682 0.0000
0.6682 0.3318 0.0000
0.5000 0.5000 0.5000
0.1665 0.8335 0.5000
0.8335 0.1665 0.5000
0.0952 0.4296 0.2885
0.2365 0.2365 0.7122
0.4296 0.0952 0.2885
0.5704 0.9048 0.7115
0.7635 0.7635 0.2878
0.9048 0.5704 0.7115

---

K3NdBi2Te6 PBE relaxed; total magnetic moment = 0.0000 μB/atom; E_form (uncorrected) = -1022.8 kJ/mol of formula units; SG = C2/m
1.0
3.9910 -6.9136 0.0000
3.9910 6.9136 0.0000
-2.6597 0.0000 8.2848
K Nd Bi Te
3 1 2 6
direct
0.0000 0.0000 0.0000
0.3323 0.6677 0.0000
0.6677 0.3323 0.0000
0.5000 0.5000 0.5000
0.1666 0.8334 0.5000
0.8334 0.1666 0.5000
0.0929 0.4295 0.2882
0.2345 0.2345 0.7125
0.4295 0.0929 0.2882
0.5705 0.9071 0.7118
0.7655 0.7655 0.2875
0.9071 0.5705 0.7118

---

K3Nd3BiTe8 PBE relaxed; total magnetic moment = 0.0000 μB/atom; E_form (uncorrected) = -1616.6 kJ/mol of formula units; SG = C2/m
1.0
7.8757 -4.5341 0.0000
7.8757 4.5341 0.0000
-5.2620 0.0000 8.4826
K Nd Bi Te
3 3 1 8
direct
0.0000 0.0000 0.0000
0.0000 0.5000 0.0000
0.5000 0.0000 0.0000
0.0000 0.5000 0.5000
0.5000 0.0000 0.5000
0.5000 0.5000 0.5000
0.0000 0.0000 0.5000
0.2373 0.2373 0.7119
0.2373 0.7374 0.7118
0.2614 0.2614 0.2844
0.2626 0.7627 0.2882
0.7374 0.2373 0.7118
0.7386 0.7386 0.7156
0.7627 0.2626 0.2882
0.7627 0.7627 0.2881

---

K3Nd2BiTe6 PBE relaxed; total magnetic moment = 0.0000 μB/atom; E_form (uncorrected) = -1328.0 kJ/mol of formula units; SG = C2/m
1.0
3.9990 -6.9263 0.0000
3.9990 6.9263 0.0000
-2.6682 0.0000 8.2664
K Nd Bi Te
3 2 1 6
direct
0.0000 0.0000 0.0000
0.3337 0.6663 0.0000
0.6663 0.3337 0.0000
0.1666 0.8334 0.5000
0.8334 0.1666 0.5000
0.5000 0.5000 0.5000
0.0977 0.4289 0.2866
0.2400 0.2400 0.7133
0.4289 0.0977 0.2866
0.5711 0.9023 0.7134
0.7600 0.7600 0.2867
0.9023 0.5711 0.7134

---

K2NdBiTe4 PBE relaxed; total magnetic moment = 0.0000 μB/atom; E_form (uncorrected) = -782.8 kJ/mol of formula units; SG = P2/m
1.0
8.0272 0.0000 0.0000
0.0000 4.5960 0.0000
-2.6328 0.0000 8.2734
K Nd Bi Te
2 1 1 4
direct
0.0000 0.0000 0.0000
0.5000 0.5000 0.0000
0.0000 0.5000 0.5000
0.5000 0.0000 0.5000
0.2395 0.0000 0.7134
0.2644 0.5000 0.2876
0.7356 0.5000 0.7124
0.7605 0.0000 0.2866

---

KNiBi2 PBE relaxed; formation energy = -0.14 eV per atom; total magnetic moment = 0.0000 μB/atom; SG = R-3m
1.0
2.1085 1.2174 7.8545
-2.1085 1.2174 7.8545
0.0000 -2.4347 7.8545
K Ni Bi
1 1 2
direct
0.0000 0.0000 0.0000
0.5000 0.5000 0.5000
0.2166 0.2166 0.2166
0.7834 0.7834 0.7834

---

KNi2Bi PBE relaxed; formation energy = 0.62 eV per atom; total magnetic moment = 0.0000 μB/atom; SG = I-42d
1.0
-3.9317 3.9317 3.4814
3.9317 -3.9317 3.4814
3.9317 3.9317 -3.4814
K Ni Bi
2 4 2
direct
0.0000 0.0000 0.0000
0.7500 0.2500 0.5000
0.2086 0.1250 0.5836
0.3750 0.7914 0.9164
0.5414 0.6250 0.4164
0.8750 0.4586 0.0836
0.2500 0.7500 0.5000
0.5000 0.5000 0.0000

---

Which value of total magnetic moment does entry 3 give? 0.0000 μB/atom